This record from Alexandria via LeMat-Bulk describes a relaxed structure of Th3Al4Au4. The functional is PBE-GGA.

Results
Total moment ... 0.0 μB/cell
Symmetry ... Immm
E_form ... -650 meV per atom

```
data_Th3Al4Au4
_space_group_name_H-M_alt 'P 1'
_space_group_IT_number 1
_space_group_name_Hall 'P 1'
_cell_length_a 4.448
_cell_length_b 4.136
_cell_length_c 13.631
_cell_angle_alpha 98.73
_cell_angle_beta 99.39
_cell_angle_gamma 90.00
loop_
_atom_site_label
_atom_site_type_symbol
_atom_site_fract_x
_atom_site_fract_y
_atom_site_fract_z
_atom_site_occupancy
Th1 Th 0.000 0.000 0.000 1
Au1 Au 0.448 0.448 0.896 1
Al1 Al 0.252 0.252 0.504 1
Au2 Au 0.806 0.306 0.611 1
Th2 Th 0.352 0.852 0.704 1
Al2 Al 0.748 0.748 0.496 1
Al3 Al 0.098 0.598 0.196 1
Al4 Al 0.902 0.402 0.804 1
Au3 Au 0.194 0.694 0.389 1
Th3 Th 0.648 0.148 0.296 1
Au4 Au 0.552 0.552 0.104 1
```